1.
Entry from the Alexandria database: crystalline CaMg2Rh at its relaxed geometry (GGA-PBE).

```
data_CaMg2Rh
_chemical_formula_sum 'Ca3 Mg6 Rh3'
_symmetry_space_group_name_H-M 'R 3 m'
_symmetry_Int_Tables_number 160
_symmetry_space_group_name_Hall 'R 3 -2"'
_cell_length_a 3.3061
_cell_length_b 3.3061
_cell_length_c 28.9351
_cell_angle_alpha 90.00
_cell_angle_beta 90.00
_cell_angle_gamma 120.00
loop_
_atom_site_label
_atom_site_fract_x
_atom_site_fract_y
_atom_site_fract_z
Ca1 0.0000 0.0000 0.0000
Mg1 0.0000 0.0000 0.5325
Mg2 0.0000 0.0000 0.7711
Rh1 0.0000 0.0000 0.2627
```

## Properties
calculated total energy: -3.1672 eV per atom
energy relative to the elements: -0.127 eV/f.u.

***

2.
Entry from the Alexandria database: crystalline Ca2MgRh at its relaxed geometry (GGA-PBE).

```
data_Ca2MgRh
_chemical_formula_sum 'Ca6 Mg3 Rh3'
_symmetry_space_group_name_H-M 'R -3 m'
_symmetry_Int_Tables_number 166
_symmetry_space_group_name_Hall '-R 3 2"'
_cell_length_a 3.5566
_cell_length_b 3.5566
_cell_length_c 29.5895
_cell_angle_alpha 90.00
_cell_angle_beta 90.00
_cell_angle_gamma 120.00
loop_
_atom_site_label
_atom_site_fract_x
_atom_site_fract_y
_atom_site_fract_z
Ca1 0.0000 0.0000 0.2324
Mg1 0.0000 0.0000 0.0000
Rh1 0.0000 0.0000 0.5000
```

## Properties
calculated total energy: -3.2827 eV per atom
energy relative to the elements: -0.182 eV/f.u.

***

3.
Entry from the Alexandria database: crystalline Ca2MgRh at its relaxed geometry (GGA-PBE).

```
data_Ca2MgRh
_chemical_formula_sum 'Ca8 Mg4 Rh4'
_symmetry_space_group_name_H-M 'I -4 2 d'
_symmetry_Int_Tables_number 122
_symmetry_space_group_name_Hall 'I -4 2bw'
_cell_length_a 10.021
_cell_length_b 10.021
_cell_length_c 5.147
_cell_angle_alpha 90.00
_cell_angle_beta 90.00
_cell_angle_gamma 90.00
loop_
_atom_site_label
_atom_site_fract_x
_atom_site_fract_y
_atom_site_fract_z
Ca1 0.100 0.750 0.125
Mg1 0.000 0.000 0.500
Rh1 0.000 0.000 0.000
```

## Properties
calculated total energy: -3.3460 eV per atom
energy relative to the elements: -0.435 eV/f.u.

***

4.
Entry from the Alexandria database: crystalline Ca2MgRh at its relaxed geometry (GGA-PBE).

```
data_Ca2MgRh
_chemical_formula_sum 'Ca4 Mg2 Rh2'
_symmetry_space_group_name_H-M 'I m m m'
_symmetry_Int_Tables_number 71
_symmetry_space_group_name_Hall '-I 2 2'
_cell_length_a 3.349
_cell_length_b 4.286
_cell_length_c 15.709
_cell_angle_alpha 90.00
_cell_angle_beta 90.00
_cell_angle_gamma 90.00
loop_
_atom_site_label
_atom_site_fract_x
_atom_site_fract_y
_atom_site_fract_z
Ca1 0.000 0.000 0.154
Mg1 0.000 0.500 0.000
Rh1 0.000 0.500 0.500
```

## Properties
calculated total energy: -3.4506 eV per atom
energy relative to the elements: -0.853 eV/f.u.

***

5.
Entry from the Alexandria database: crystalline Ca3MgRh8 at its relaxed geometry (GGA-PBE).

```
data_Ca3MgRh8
_chemical_formula_sum 'Ca9 Mg3 Rh24'
_symmetry_space_group_name_H-M 'R 3 m'
_symmetry_Int_Tables_number 160
_symmetry_space_group_name_Hall 'R 3 -2"'
_cell_length_a 5.3073
_cell_length_b 5.3073
_cell_length_c 26.0256
_cell_angle_alpha 90.00
_cell_angle_beta 90.00
_cell_angle_gamma 120.00
loop_
_atom_site_label
_atom_site_fract_x
_atom_site_fract_y
_atom_site_fract_z
Ca1 0.0000 0.0000 0.0000
Ca2 0.0000 0.0000 0.1261
Ca3 0.0000 0.0000 0.5026
Mg1 0.0000 0.0000 0.6262
Rh1 0.0000 0.0000 0.3134
Rh2 0.0000 0.0000 0.8135
Rh3 0.0021 0.5011 0.5652
Rh4 0.1682 0.3363 0.3952
```

## Properties
calculated total energy: -5.9133 eV per atom
energy relative to the elements: -4.548 eV/f.u.

***

6.
Entry from the Alexandria database: crystalline Ca3MgRh2 at its relaxed geometry (GGA-PBE).

```
data_Ca3MgRh2
_chemical_formula_sum 'Ca6 Mg2 Rh4'
_symmetry_space_group_name_H-M 'I m m m'
_symmetry_Int_Tables_number 71
_symmetry_space_group_name_Hall '-I 2 2'
_cell_length_a 4.147
_cell_length_b 4.489
_cell_length_c 15.334
_cell_angle_alpha 90.00
_cell_angle_beta 90.00
_cell_angle_gamma 90.00
loop_
_atom_site_label
_atom_site_fract_x
_atom_site_fract_y
_atom_site_fract_z
Ca1 0.000 0.000 0.000
Ca2 0.000 0.500 0.316
Mg1 0.000 0.000 0.500
Rh1 0.000 0.500 0.118
```

## Properties
calculated total energy: -4.0114 eV per atom
energy relative to the elements: -1.766 eV/f.u.

***

7.
Entry from the Alexandria database: crystalline CaMg10Rh3 at its relaxed geometry (GGA-PBE).

```
data_CaMg10Rh3
_chemical_formula_sum 'Ca8 Mg80 Rh24'
_symmetry_space_group_name_H-M 'F m -3 m'
_symmetry_Int_Tables_number 225
_symmetry_space_group_name_Hall '-F 4 2 3'
_cell_length_a 13.548
_cell_length_b 13.548
_cell_length_c 13.548
_cell_angle_alpha 90.00
_cell_angle_beta 90.00
_cell_angle_gamma 90.00
loop_
_atom_site_label
_atom_site_fract_x
_atom_site_fract_y
_atom_site_fract_z
Ca1 0.250 0.250 0.250
Mg1 0.000 0.166 0.166
Mg2 0.111 0.111 0.389
Rh1 0.000 0.000 0.267
```

## Properties
calculated total energy: -3.0973 eV per atom
energy relative to the elements: -3.361 eV/f.u.

***

8.
Entry from the Alexandria database: crystalline CaMg2Rh at its relaxed geometry (GGA-PBE).

```
data_CaMg2Rh
_chemical_formula_sum 'Ca1 Mg2 Rh1'
_symmetry_space_group_name_H-M 'P 4/m m m'
_symmetry_Int_Tables_number 123
_symmetry_space_group_name_Hall '-P 4 2'
_cell_length_a 3.275
_cell_length_b 3.275
_cell_length_c 8.116
_cell_angle_alpha 90.00
_cell_angle_beta 90.00
_cell_angle_gamma 90.00
loop_
_atom_site_label
_atom_site_fract_x
_atom_site_fract_y
_atom_site_fract_z
Ca1 0.000 0.000 0.000
Mg1 0.500 0.500 0.322
Rh1 0.000 0.000 0.500
```

## Properties
calculated total energy: -3.3995 eV per atom
energy relative to the elements: -1.056 eV/f.u.

***

9.
Entry from the Alexandria database: crystalline CaMgRh at its relaxed geometry (GGA-PBE).

```
data_CaMgRh
_chemical_formula_sum 'Ca1 Mg1 Rh1'
_symmetry_space_group_name_H-M 'P 3 m 1'
_symmetry_Int_Tables_number 156
_cell_length_a 3.4034
_cell_length_b 3.4034
_cell_length_c 6.7900
_cell_angle_alpha 90.00
_cell_angle_beta 90.00
_cell_angle_gamma 120.00
loop_
_symmetry_equiv_pos_as_xyz
'x,y,z'
'-y,x-y,z'
'-x+y,-x,z'
'-y,-x,z'
'-x+y,y,z'
'x,x-y,z'
loop_
_atom_site_label
_atom_site_fract_x
_atom_site_fract_y
_atom_site_fract_z
Ca1 0.0000 0.0000 0.0000
Mg1 0.6667 0.3333 0.4423
Rh1 0.3333 0.6667 0.7041
```

## Properties
calculated total energy: -3.7171 eV per atom
energy relative to the elements: -0.204 eV/f.u.

***

10.
Entry from the Alexandria database: crystalline CaMg2Rh at its relaxed geometry (GGA-PBE).

```
data_CaMg2Rh
_chemical_formula_sum 'Ca2 Mg4 Rh2'
_symmetry_space_group_name_H-M 'I -4 m 2'
_symmetry_Int_Tables_number 119
_symmetry_space_group_name_Hall 'I -4 -2'
_cell_length_a 4.907
_cell_length_b 4.907
_cell_length_c 6.865
_cell_angle_alpha 90.00
_cell_angle_beta 90.00
_cell_angle_gamma 90.00
loop_
_atom_site_label
_atom_site_fract_x
_atom_site_fract_y
_atom_site_fract_z
Ca1 0.000 0.000 0.000
Mg1 0.000 0.000 0.500
Mg2 0.000 0.500 0.250
Rh1 0.000 0.500 0.750
```

## Properties
calculated total energy: -3.3207 eV per atom
energy relative to the elements: -0.740 eV/f.u.